Model a:
Compound: BaH
Source: Alexandria
Functional: PBE
Structure: optimized geometry

Lattice parameters (Å, degrees): 6.582 7.794 8.727 90.00 90.00 90.00
Space group P2_12_12_1 (No. 19)
Symmetry-distinct sites (fractional):
Ba  0.006  0.161  0.372
Ba  0.014  0.668  0.625
H  0.064  0.335  0.124
H  0.242  0.002  0.628

---

Model b:
Compound: BaH
Source: Alexandria
Functional: PBE
Structure: optimized geometry

Lattice parameters (Å, degrees): 7.460 7.460 7.460 90.00 90.00 90.00
Space group Pm-3n (No. 223)
Symmetry-distinct sites (fractional):
Ba  0.000  0.250  0.500
H  0.000  0.500  0.250

---

Model c:
Compound: BaH
Source: Alexandria
Functional: PBE
Structure: optimized geometry

Lattice parameters (Å, degrees): 4.437 4.429 6.760 90.00 90.08 90.00
Space group P2_1/m (No. 11)
Symmetry-distinct sites (fractional):
Ba  0.249  0.250  0.288
H  0.250  0.750  0.501

---

Model d:
Compound: BaH
Source: Alexandria
Functional: PBE
Structure: optimized geometry

Lattice parameters (Å, degrees): 4.355 4.361 7.644 74.29 73.69 60.10
Space group P1 (No. 1)
Symmetry-distinct sites (fractional):
Ba  0.000  0.000  0.000
Ba  0.481  0.466  0.568
H  0.358  0.356  0.927
H  0.749  0.740  0.761

---

Which structure is the most stable? The one labeled model c.